First-principles (GGA-PBE) data for SrPuBi after structural relaxation, as listed in the Alexandria database.

Output
Space-group type = No. 156
ΔE to the lowest computed polymorph = 1.173 eV/f.u.
Volume = 34.9 Å³ per atom
Energy relative to the elements = -0.134 eV/atom

Lattice parameters (Å, degrees): 5.513 5.513 3.973 90.00 90.00 120.00
Element x y z (fractional)
Sr 0.000 0.000 0.000
Pu 0.333 0.667 0.461
Bi 0.667 0.333 0.613